# 1
Mo5Rh4: relaxed, PBE-GGA.

## Properties
space group: I4/mmm (139)
E_form: -0.22 eV per formula unit
E above lowest polymorph: 0.9 kJ per mole of atoms

Structure (POSCAR):
```
Mo5Rh4
1.0
-4.1587 4.1587 1.9657
4.1587 -4.1587 1.9657
4.1587 4.1587 -1.9657
Rh Mo
4 5
Direct
0.0000 0.3309 0.3309
0.6691 0.0000 0.6691
0.0000 0.6691 0.6691
0.3309 0.0000 0.3309
0.6706 0.6706 0.3412
0.6706 0.3294 0.0000
0.3294 0.6706 0.0000
0.0000 0.0000 0.0000
0.3294 0.3294 0.6588
```

---

# 2
La2Bi2S4OF: relaxed, PBE-GGA.

## Properties
formation energy from raw total energies: -18.28 eV per formula unit
space group: P-4m2 (115)

Structure (POSCAR):
```
La2Bi2S4OF
1.0
4.0859 0.0000 0.0000
0.0000 4.0859 0.0000
0.0000 0.0000 13.3980
S La O Bi F
4 2 1 2 1
Direct
0.5000 0.0000 0.8142
0.0000 0.5000 0.6170
0.0000 0.5000 0.1858
0.5000 0.0000 0.3830
0.5000 0.0000 0.1056
0.0000 0.5000 0.8944
0.5000 0.5000 0.0000
0.0000 0.5000 0.3841
0.5000 0.0000 0.6159
0.0000 0.0000 0.0000
```

---

# 3
MoRu2: relaxed, PBE-GGA.

## Properties
space group: I4_1/amd (141)
E_form: 0.07 eV per formula unit

Structure (POSCAR):
```
MoRu2
1.0
3.8430 0.0000 0.0000
0.0000 3.8430 0.0000
-1.9215 -1.9215 11.8512
Mo Ru
4 8
Direct
0.9205 0.9205 0.8410
0.0795 0.0795 0.1590
0.1705 0.6705 0.3410
0.3295 0.8295 0.6590
0.4990 0.9990 0.9979
0.6676 0.1676 0.3353
0.7510 0.7510 0.5021
0.4176 0.4176 0.8353
0.0010 0.5010 0.0021
0.2490 0.2490 0.4979
0.8324 0.3324 0.6647
0.5824 0.5824 0.1647
```